Below is a crystal of CrIN2 relaxed with PBEsol, with properties calculated at the meta-GGA SCAN level.

a b c (Å): 6.523 6.523 6.523
angles (deg): 27.50 27.50 27.50
Element x y z (fractional)
Cr: 0.000 0.000 0.000
I: 0.500 0.500 0.500
N: 0.384 0.384 0.384
N: 0.616 0.616 0.616

Values from the calculation:
- VASP energy: -1.325 Ry/atom
- SG: R-3m (166)

---

Below is a crystal of CdInHg2 relaxed with PBEsol, with properties calculated at the meta-GGA SCAN level.

a b c (Å): 5.378 5.378 5.378
angles (deg): 128.63 128.63 75.61
Element x y z (fractional)
Cd: 0.000 0.000 0.000
In: 0.500 0.500 0.000
Hg: 0.250 0.750 0.500
Hg: 0.750 0.250 0.500

Values from the calculation:
- Formation energy from the elements: 23 meV per atom
- SG: I4/mmm (139)

---

Below is a crystal of KCrAs relaxed with PBEsol, with properties calculated at the meta-GGA SCAN level.

a b c (Å): 4.861 4.861 4.861
angles (deg): 60.00 60.00 60.00
Element x y z (fractional)
K: 0.000 0.000 0.000
Cr: 0.750 0.750 0.750
As: 0.250 0.250 0.250

Values from the calculation:
- Formation energy from the elements: 778 meV per atom
- SG: F-43m (216)

---

Below is a crystal of LiCoAu4 relaxed with PBEsol, with properties calculated at the meta-GGA SCAN level.

a b c (Å): 5.346 5.346 5.346
angles (deg): 60.00 60.00 60.00
Element x y z (fractional)
Li: 0.000 0.000 0.000
Co: 0.750 0.750 0.750
Au: 0.375 0.375 0.375
Au: 0.375 0.375 0.875
Au: 0.375 0.875 0.375
Au: 0.875 0.375 0.375

Values from the calculation:
- Formation energy from the elements: 14 meV per atom
- SG: F-43m (216)

---

Below is a crystal of SrSb2Rh relaxed with PBEsol, with properties calculated at the meta-GGA SCAN level.

a b c (Å): 9.412 9.412 9.412
angles (deg): 147.87 147.87 46.07
Element x y z (fractional)
Sr: 0.000 0.000 0.000
Sr: 0.750 0.250 0.500
Sb: 0.255 0.625 0.130
Sb: 0.375 0.505 0.630
Sb: 0.495 0.125 0.870
Sb: 0.875 0.745 0.370
Rh: 0.250 0.750 0.500
Rh: 0.500 0.500 0.000

Values from the calculation:
- VASP energy: -2.430 Ry/atom
- SG: I-42d (122)

---

Below is a crystal of ScAl2Rh relaxed with PBEsol, with properties calculated at the meta-GGA SCAN level.

a b c (Å): 4.421 4.421 4.421
angles (deg): 60.00 60.00 60.00
Element x y z (fractional)
Sc: 0.000 0.000 0.000
Al: 0.250 0.250 0.250
Al: 0.750 0.750 0.750
Rh: 0.500 0.500 0.500

Values from the calculation:
- Formation energy from the elements: -788 meV per atom
- SG: Fm-3m (225)

---

Below is a crystal of LaSiAg3 relaxed with PBEsol, with properties calculated at the meta-GGA SCAN level.

a b c (Å): 5.397 5.397 5.397
angles (deg): 90.00 90.00 90.00
Element x y z (fractional)
La: 0.000 0.000 0.000
Si: 0.500 0.500 0.500
Ag: 0.000 0.000 0.500
Ag: 0.000 0.500 0.000
Ag: 0.500 0.000 0.000

Values from the calculation:
- VASP energy: -2.054 Ry/atom
- SG: Pm-3m (221)

---

Below is a crystal of LaCd2Ir relaxed with PBEsol, with properties calculated at the meta-GGA SCAN level.

a b c (Å): 5.258 5.258 5.984
angles (deg): 124.17 124.17 44.65
Element x y z (fractional)
La: 0.000 0.000 0.000
Cd: 0.167 0.167 0.662
Cd: 0.406 0.406 0.475
Ir: 0.734 0.734 0.053

Values from the calculation:
- Formation energy from the elements: -348 meV per atom
- SG: Cm (8)

---

Below is a crystal of NaBiAu3 relaxed with PBEsol, with properties calculated at the meta-GGA SCAN level.

a b c (Å): 4.843 4.843 4.843
angles (deg): 90.00 90.00 90.00
Element x y z (fractional)
Na: 0.000 0.000 0.000
Bi: 0.500 0.500 0.500
Au: 0.000 0.000 0.500
Au: 0.000 0.500 0.000
Au: 0.500 0.000 0.000

Values from the calculation:
- Formation energy from the elements: 677 meV per atom
- SG: Pm-3m (221)

---

Below is a crystal of YZr3 relaxed with PBEsol, with properties calculated at the meta-GGA SCAN level.

a b c (Å): 3.256 5.174 5.692
angles (deg): 90.00 90.00 90.00
Element x y z (fractional)
Y: 0.000 0.000 0.000
Zr: 0.000 0.500 0.337
Zr: 0.500 0.000 0.498
Zr: 0.500 0.500 0.812

Values from the calculation:
- Formation energy from the elements: 78 meV per atom
- SG: Pmm2 (25)

---

Below is a crystal of K2ScNi relaxed with PBEsol, with properties calculated at the meta-GGA SCAN level.

a b c (Å): 7.236 7.236 7.236
angles (deg): 152.11 128.65 59.44
Element x y z (fractional)
K: 0.000 0.000 0.000
K: 0.679 0.179 0.500
Sc: 0.350 0.350 0.000
Ni: 0.225 0.725 0.500

Values from the calculation:
- Formation energy from the elements: 457 meV per atom
- SG: Imm2 (44)

---

Below is a crystal of Pm2AgRh relaxed with PBEsol, with properties calculated at the meta-GGA SCAN level.

a b c (Å): 5.018 5.018 5.018
angles (deg): 60.00 60.00 60.00
Element x y z (fractional)
Pm: 0.250 0.250 0.250
Pm: 0.750 0.750 0.750
Ag: 0.000 0.000 0.000
Rh: 0.500 0.500 0.500

Values from the calculation:
- Formation energy from the elements: -559 meV per atom
- SG: Fm-3m (225)

---

Below is a crystal of ReSi2Pt relaxed with PBEsol, with properties calculated at the meta-GGA SCAN level.

a b c (Å): 6.296 6.296 6.296
angles (deg): 127.10 127.10 78.10
Element x y z (fractional)
Re: 0.000 0.000 0.000
Re: 0.750 0.250 0.500
Si: 0.129 0.625 0.004
Si: 0.375 0.379 0.504
Si: 0.621 0.125 0.996
Si: 0.875 0.871 0.496
Pt: 0.250 0.750 0.500
Pt: 0.500 0.500 0.000

Values from the calculation:
- VASP energy: -2.940 Ry/atom
- SG: I-42d (122)

---

Below is a crystal of Al2TlOs relaxed with PBEsol, with properties calculated at the meta-GGA SCAN level.

a b c (Å): 4.646 4.646 4.976
angles (deg): 100.18 100.18 39.86
Element x y z (fractional)
Al: 0.232 0.232 0.200
Al: 0.768 0.768 0.800
Tl: 0.000 0.000 0.500
Os: 0.500 0.500 0.000

Values from the calculation:
- Formation energy from the elements: 211 meV per atom
- SG: C2/m (12)

---

Below is a crystal of AlAg5 relaxed with PBEsol, with properties calculated at the meta-GGA SCAN level.

a b c (Å): 4.944 2.861 6.930
angles (deg): 90.00 91.06 90.00
Element x y z (fractional)
Al: 0.000 0.000 0.000
Ag: 0.161 0.500 0.323
Ag: 0.332 0.000 0.663
Ag: 0.500 0.500 0.000
Ag: 0.668 0.000 0.337
Ag: 0.839 0.500 0.677

Values from the calculation:
- Formation energy from the elements: -51 meV per atom
- SG: P2/m (10)

---

Below is a crystal of CaScAl2 relaxed with PBEsol, with properties calculated at the meta-GGA SCAN level.

a b c (Å): 3.467 3.467 7.128
angles (deg): 90.00 90.00 90.00
Element x y z (fractional)
Ca: 0.000 0.000 0.000
Sc: 0.000 0.000 0.500
Al: 0.500 0.500 0.281
Al: 0.500 0.500 0.719

Values from the calculation:
- Formation energy from the elements: -316 meV per atom
- SG: P4/mmm (123)

---

Below is a crystal of CrHS2Cl relaxed with PBEsol, with properties calculated at the meta-GGA SCAN level.

a b c (Å): 4.353 4.353 4.837
angles (deg): 90.00 90.00 90.00
Element x y z (fractional)
Cr: 0.000 0.000 0.000
H: 0.500 0.500 0.500
S: 0.000 0.500 0.000
S: 0.500 0.000 0.000
Cl: 0.000 0.000 0.500

Values from the calculation:
- VASP energy: -0.701 Ry/atom
- SG: P4/mmm (123)

---

Below is a crystal of ScInHg4 relaxed with PBEsol, with properties calculated at the meta-GGA SCAN level.

a b c (Å): 5.805 5.805 5.805
angles (deg): 60.00 60.00 60.00
Element x y z (fractional)
Sc: 0.000 0.000 0.000
In: 0.750 0.750 0.750
Hg: 0.375 0.375 0.375
Hg: 0.375 0.375 0.876
Hg: 0.375 0.876 0.375
Hg: 0.876 0.375 0.375

Values from the calculation:
- Formation energy from the elements: 68 meV per atom
- SG: F-43m (216)

---

Below is a crystal of Ag2PdCS relaxed with PBEsol, with properties calculated at the meta-GGA SCAN level.

a b c (Å): 5.083 5.083 4.237
angles (deg): 90.00 90.00 90.00
Element x y z (fractional)
Ag: 0.000 0.500 0.000
Ag: 0.500 0.000 0.000
Pd: 0.000 0.000 0.000
C: 0.500 0.500 0.500
S: 0.000 0.000 0.500

Values from the calculation:
- VASP energy: -1.572 Ry/atom
- SG: P4/mmm (123)

---

Below is a crystal of LiCr2P relaxed with PBEsol, with properties calculated at the meta-GGA SCAN level.

a b c (Å): 3.427 3.427 3.678
angles (deg): 90.00 90.00 90.00
Element x y z (fractional)
Li: 0.000 0.000 0.000
Cr: 0.000 0.500 0.500
Cr: 0.500 0.000 0.500
P: 0.500 0.500 0.000

Values from the calculation:
- Formation energy from the elements: 42 meV per atom
- SG: P4/mmm (123)